1.
DFT (PBE) results for a relaxed YAu4Cl crystal.

Properties
**DFT total energy**: -24.1 eV/cell
**SG**: No. 216
**Raw formation energy**: -450 meV per atom

extended XYZ file:
```
6
Lattice="3.088 -3.846 2.682 1.944 1.060 5.159 -2.132 -2.729 4.419" Properties=species:S:1:pos:R:3 pbc="T T T"
Y 0.000 0.000 0.000
Au 2.629 -3.988 5.938
Au 0.024 -3.431 6.805
Au 2.058 -1.540 7.175
Au 1.088 -2.069 4.600
Cl 2.175 -4.136 9.195
```

2.
DFT (PBE) results for a relaxed YAuCl3 crystal.

Properties
**DFT total energy**: -21.3 eV/cell
**SG**: No. 221
**Raw formation energy**: -1208 meV per atom
**Energy relative to the lowest polymorph listed for this composition**: 0 meV/atom

extended XYZ file:
```
5
Lattice="-2.791 -2.772 3.544 4.471 -2.179 1.817 0.507 3.951 3.489" Properties=species:S:1:pos:R:3 pbc="T T T"
Y 0.000 0.000 0.000
Au 1.093 -0.500 4.425
Cl 2.235 -1.089 0.909
Cl 0.254 1.975 1.744
Cl -1.396 -1.386 1.772
```